Entry 1:
## PrCu2GePd2 (PBE-GGA)

Data for crystalline PrCu2GePd2 at its relaxed geometry.

The raw total energy is -4.805 eV/atom. For the formation energy, the calculation gives -143 meV/atom. The calculation puts the magnetic moment at 0.000 μB per atom. The calculation puts the calculated density at 7.9 g/cm3.

It has space group P4/mmm (No. 123), with a = 4.486 Å, b = 4.486 Å, c = 5.752 Å, α = 90.00°, β = 90.00° and γ = 90.00°. The asymmetric unit holds Pr at (0.000, 0.000, 0.000), Cu at (0.000, 0.500, 0.500), Ge at (0.000, 0.000, 0.500) and Pd at (0.500, 0.500, 0.241).



Entry 2:
## VRhS3 (PBE-GGA)

Data for crystalline VRhS3 at its relaxed geometry.

For the formation energy without anion corrections, the calculation gives 0.476 eV/atom. The raw total energy is -5.295 eV/atom. The calculation puts the magnetic moment at 0.220 μB per atom. The calculation puts the calculated density at 4.2 g/cm3.

It has space group Pm-3m (No. 221), with a = 4.609 Å, b = 4.609 Å, c = 4.609 Å, α = 90.00°, β = 90.00° and γ = 90.00°. The asymmetric unit holds V at (0.000, 0.000, 0.000), Rh at (0.500, 0.500, 0.500) and S at (0.000, 0.500, 0.500).



Entry 3:
## Li3LaTe3 (PBE-GGA)

Data for crystalline Li3LaTe3 at its relaxed geometry.

For the formation energy without anion corrections, the calculation gives -1.223 eV/atom. The raw total energy is -4.094 eV/atom. The calculation puts the magnetic moment at 0.000 μB per atom. The calculation puts the calculated density at 4.3 g/cm3.

It has space group R-3 (No. 148, hexagonal axes), with a = 8.0555 Å, b = 8.0555 Å, c = 22.4080 Å, α = 90.00°, β = 90.00° and γ = 120.00°. The asymmetric unit holds Li at (0.0054, 0.3187, 0.1225), La at (0.0000, 0.0000, 0.3341) and Te at (0.0029, 0.3521, 0.9157).



Entry 4:
## AcCeHg3 (PBE-GGA)

Data for crystalline AcCeHg3 at its relaxed geometry.

The raw total energy is -2.571 eV/atom. For the formation energy, the calculation gives -381 meV/atom. The calculation puts the magnetic moment at 0.267 μB per atom. The calculation puts the calculated density at 11.0 g/cm3.

It has space group Cmcm (No. 63), with a = 3.789 Å, b = 30.221 Å, c = 5.088 Å, α = 90.00°, β = 90.00° and γ = 90.00°. The asymmetric unit holds Ac at (0.000, 0.075, 0.250), Ce at (0.000, 0.211, 0.750), Hg at (0.000, 0.319, 0.750), Hg at (0.000, 0.377, 0.250) and Hg at (0.000, 0.476, 0.250).



Entry 5:
## NiTeOs2 (PBE-GGA)

Data for crystalline NiTeOs2 at its relaxed geometry.

For the formation energy without anion corrections, the calculation gives 0.660 eV/atom. The raw total energy is -7.185 eV/atom. The calculation puts the magnetic moment at 0.000 μB per atom. The calculation puts the calculated density at 15.7 g/cm3.

It has space group P4/mmm (No. 123), with a = 4.027 Å, b = 4.027 Å, c = 3.706 Å, α = 90.00°, β = 90.00° and γ = 90.00°. The asymmetric unit holds Ni at (0.000, 0.000, 0.000), Te at (0.500, 0.500, 0.000) and Os at (0.000, 0.500, 0.500).



Entry 6:
## Hf4MgSc2 (PBE-GGA)

Data for crystalline Hf4MgSc2 at its relaxed geometry.

The raw total energy is -7.635 eV/atom. For the formation energy, the calculation gives 89 meV/atom. The calculation puts the magnetic moment at 0.053 μB per atom. The calculation puts the calculated density at 8.5 g/cm3.

It has space group Cmmm (No. 65), with a = 3.123 Å, b = 33.590 Å, c = 3.100 Å, α = 90.00°, β = 90.00° and γ = 90.00°. The asymmetric unit holds Hf at (0.000, 0.072, 0.000), Hf at (0.000, 0.363, 0.500), Mg at (0.000, 0.500, 0.500) and Sc at (0.000, 0.206, 0.000).



Entry 7:
## Ag3PPt (PBE-GGA)

Data for crystalline Ag3PPt at its relaxed geometry.

The raw total energy is -2.840 eV/atom. For the formation energy, the calculation gives 1161 meV/atom. The calculation puts the magnetic moment at 0.234 μB per atom. The calculation puts the calculated density at 7.0 g/cm3.

It has space group Pm-3m (No. 221), with a = 5.064 Å, b = 5.064 Å, c = 5.064 Å, α = 90.00°, β = 90.00° and γ = 90.00°. The asymmetric unit holds Ag at (0.000, 0.000, 0.500), P at (0.500, 0.500, 0.500) and Pt at (0.000, 0.000, 0.000).



Entry 8:
## CsRb2WCl8 (PBE-GGA)

Data for crystalline CsRb2WCl8 at its relaxed geometry.

For the formation energy without anion corrections, the calculation gives -1.366 eV/atom. The raw total energy is -3.909 eV/atom. The calculation puts the magnetic moment at 0.079 μB per atom. The calculation puts the calculated density at 2.8 g/cm3.

It has space group P2/m (No. 10), with a = 5.962 Å, b = 10.231 Å, c = 7.754 Å, α = 90.00°, β = 107.76° and γ = 90.00°. The asymmetric unit holds Cs at (0.000, 0.000, 0.000), Rb at (0.500, 0.230, 0.500), W at (0.000, 0.500, 0.000), Cl at (0.091, 0.337, 0.818), Cl at (0.389, 0.500, 0.192) and Cl at (0.395, 0.000, 0.729).



Entry 9:
## TmLuAgAu (PBE-GGA)

Data for crystalline TmLuAgAu at its relaxed geometry.

The raw total energy is -4.398 eV/atom. For the formation energy, the calculation gives -618 meV/atom. The calculation puts the magnetic moment at 0.000 μB per atom. The calculation puts the calculated density at 12.0 g/cm3.

It has space group F-43m (No. 216), with a = 7.110 Å, b = 7.110 Å, c = 7.110 Å, α = 90.00°, β = 90.00° and γ = 90.00°. The asymmetric unit holds Tm at (0.000, 0.000, 0.000), Lu at (0.000, 0.000, 0.500), Ag at (0.250, 0.250, 0.250) and Au at (0.250, 0.250, 0.750).



Entry 10:
## ThGa3 (PBE-GGA)

Data for crystalline ThGa3 at its relaxed geometry.

The raw total energy is -4.654 eV/atom. For the formation energy, the calculation gives -529 meV/atom. The calculation puts the magnetic moment at 0.000 μB per atom. The calculation puts the calculated density at 8.8 g/cm3.

It has space group P6_3/mmc (No. 194), with a = 6.4696 Å, b = 6.4696 Å, c = 4.6077 Å, α = 90.00°, β = 90.00° and γ = 120.00°. The asymmetric unit holds Th at (0.3333, 0.6667, 0.2500) and Ga at (0.1428, 0.2856, 0.7500).



Entry 11:
## Mo2AsBr (PBE-GGA)

Data for crystalline Mo2AsBr at its relaxed geometry.

For the formation energy without anion corrections, the calculation gives 0.421 eV/atom. The raw total energy is -6.575 eV/atom. The calculation puts the magnetic moment at 0.000 μB per atom. The calculation puts the calculated density at 8.5 g/cm3.

It has space group R-3m (No. 166, hexagonal axes), with a = 3.1027 Å, b = 3.1027 Å, c = 24.3571 Å, α = 90.00°, β = 90.00° and γ = 120.00°. The asymmetric unit holds Mo at (0.0000, 0.0000, 0.2443), As at (0.0000, 0.0000, 0.5000) and Br at (0.0000, 0.0000, 0.0000).



Entry 12:
## Ac3NiC2N6 (PBE-GGA)

Data for crystalline Ac3NiC2N6 at its relaxed geometry.

For the formation energy without anion corrections, the calculation gives -0.514 eV/atom. The raw total energy is -7.723 eV/atom. The calculation puts the magnetic moment at 0.085 μB per atom. The calculation puts the calculated density at 8.0 g/cm3.

It has space group P-3m1 (No. 164), with a = 5.5072 Å, b = 5.5072 Å, c = 6.6842 Å, α = 90.00°, β = 90.00° and γ = 120.00°. The asymmetric unit holds Ac at (0.0000, 0.0000, 0.0000), Ac at (0.3333, 0.6667, 0.6657), Ni at (0.0000, 0.0000, 0.5000), C at (0.3333, 0.6667, 0.2653) and N at (0.1884, 0.3767, 0.2736).